[1]
Here is a crystal of ScCd2Hg relaxed with PBEsol from Alexandria. Energies are from SCAN.

Lattice parameters (Å, degrees): 3.122 4.524 6.084 90.00 104.73 90.00
Sites, in units of the cell vectors:
Sc: 0.296 0.500 0.718
Hg: 0.702 0.000 0.527
Cd: 0.949 0.000 0.024
Cd: 0.553 0.500 0.232

Summary:
Theoretical density = 9.4 g/cm3
Space-group type = Pm, No. 6
Formation energy from the elements = -0.298 eV/atom
Magnetization = 0.05 μB/atom

---

[2]
Here is a crystal of BaZr2Cu relaxed with PBEsol from Alexandria. Energies are from SCAN.

Lattice parameters (Å, degrees): 3.370 3.370 10.065 80.36 80.36 60.00
Sites, in units of the cell vectors:
Ba: 0.500 0.500 0.500
Cu: 0.000 0.000 0.000
Zr: 0.270 0.270 0.189
Zr: 0.730 0.730 0.811

Summary:
Theoretical density = 6.6 g/cm3
ΔE to the lowest computed polymorph = 155 meV per atom
Space-group type = R-3m, No. 166
Formation energy from the elements = 0.490 eV/atom
Magnetization = 0.00 μB/atom

---

[3]
Here is a crystal of SiPBr2 relaxed with PBEsol from Alexandria. Energies are from SCAN.

Lattice parameters (Å, degrees): 3.235 3.235 7.857 90.00 90.00 90.00
Sites, in units of the cell vectors:
P: 0.500 0.500 0.000
Si: 0.500 0.500 0.500
Br: 0.000 0.000 0.716
Br: 0.000 0.000 0.284

Summary:
Theoretical density = 4.4 g/cm3
ΔE to the lowest computed polymorph = 1076 meV per atom
Space-group type = P4/mmm, No. 123
Raw formation energy = 0.936 eV per atom
Magnetization = 0.00 μB/atom

---

[4]
Here is a crystal of Mg2InCl relaxed with PBEsol from Alexandria. Energies are from SCAN.

Lattice parameters (Å, degrees): 3.204 5.288 5.288 90.24 84.05 84.05
Sites, in units of the cell vectors:
Cl: 0.500 0.500 0.500
In: 0.500 0.000 0.000
Mg: 0.000 0.000 0.500
Mg: 0.000 0.500 0.000

Summary:
Theoretical density = 3.7 g/cm3
ΔE to the lowest computed polymorph = 51 meV per atom
Space-group type = C2/m, No. 12
Raw formation energy = -0.485 eV per atom
Magnetization = 0.00 μB/atom

---

[5]
Here is a crystal of KBeRuBr2 relaxed with PBEsol from Alexandria. Energies are from SCAN.

Lattice parameters (Å, degrees): 4.224 5.150 5.150 90.00 90.00 90.00
Sites, in units of the cell vectors:
Ru: 0.000 0.000 0.000
K: 0.500 0.500 0.500
Br: 0.000 0.000 0.500
Br: 0.000 0.500 0.000
Be: 0.500 0.000 0.000

Summary:
Theoretical density = 4.6 g/cm3
Space-group type = P4/mmm, No. 123
Raw formation energy = -0.215 eV per atom
Magnetization = 0.09 μB/atom

---

[6]
Here is a crystal of AlH2Ru relaxed with PBEsol from Alexandria. Energies are from SCAN.

Lattice parameters (Å, degrees): 3.795 3.795 5.489 110.23 110.23 90.00
Sites, in units of the cell vectors:
Ru: 0.250 0.750 0.500
Ru: 0.000 0.000 0.000
Al: 0.750 0.250 0.500
Al: 0.500 0.500 0.000
H: 0.919 0.375 0.250
H: 0.331 0.875 0.250
H: 0.625 0.669 0.750
H: 0.125 0.081 0.750

Summary:
Uncorrected energy = -12.37 eV per atom
Theoretical density = 6.3 g/cm3
Space-group type = I-42d, No. 122
Magnetization = 0.00 μB/atom